Density functional theory data (GGA+U) for TbFeF5 after structural relaxation.

Calculated values
The crystal system is monoclinic. Its space group is No. 15. The value obtained for the electronic total energy is -6.2124 eV/atom.

a = 5.7129 Å, b = 5.7129 Å, c = 7.6518 Å
α = 70.88°, β = 70.88°, γ = 73.89°
Positions (direct):
Tb (0.5512, 0.4488, 0.7500)
Tb (0.4488, 0.5512, 0.2500)
Fe (0.0000, 0.0000, 0.0000)
Fe (0.0000, 0.0000, 0.5000)
F (0.2644, 0.2153, 0.8750)
F (0.3264, 0.6911, 0.5358)
F (0.2153, 0.2644, 0.3750)
F (0.8786, 0.1214, 0.7500)
F (0.3089, 0.6736, 0.9642)
F (0.6911, 0.3264, 0.0358)
F (0.1214, 0.8786, 0.2500)
F (0.7847, 0.7356, 0.6250)
F (0.6736, 0.3089, 0.4642)
F (0.7356, 0.7847, 0.1250)